{"formula": "Zn2SnNO", "functional": "PBE", "state": "relaxed", "lattice_angstrom": [[5.349, 0.000, 0.000], [0.000, 5.349, 0.000], [0.000, 0.000, 4.136]], "species": ["Zn", "Zn", "Sn", "N", "O"], "fractional_positions": [[0.000, 0.500, 0.000], [0.500, 0.000, 0.000], [0.000, 0.000, 0.000], [0.500, 0.500, 0.500], [0.000, 0.000, 0.500]], "formation_energy_uncorrected_kj_per_mol_atoms": 98.1, "volume_a3_per_cell": 118.3}